A plane-wave DFT calculation with GGA+U was carried out for a geometry-optimized Ca2FeTeO6 structure.

Structure (POSCAR):
```
Ca2FeTeO6
1.0
5.576 0.000 0.000
-2.686 4.887 0.000
-0.140 -3.198 4.599
Ca Fe Te O
2 1 1 6
Direct
0.227 0.497 0.257
0.773 0.503 0.743
0.500 0.000 0.000
0.000 0.000 0.500
0.168 0.875 0.197
0.188 0.886 0.687
0.337 0.462 0.718
0.663 0.538 0.282
0.812 0.114 0.313
0.832 0.125 0.803
```

Total DFT energy (no corrections) in eV/atom: -6.2759
Magnetic moment in μB/f.u.: 4.00

=====

A plane-wave DFT calculation with GGA+U was carried out for a geometry-optimized Na3Tm3CoO8 structure.

Structure (POSCAR):
```
Na3Tm3CoO8
1.0
3.261 1.883 5.524
-3.261 1.883 5.524
0.000 -3.765 5.524
Na Tm Co O
3 3 1 8
Direct
0.000 0.500 0.500
0.500 0.000 0.500
0.500 0.500 0.000
0.000 0.000 0.500
0.000 0.500 0.000
0.500 0.000 0.000
0.500 0.500 0.500
0.236 0.236 0.236
0.267 0.713 0.713
0.287 0.287 0.733
0.287 0.733 0.287
0.713 0.267 0.713
0.713 0.713 0.267
0.733 0.287 0.287
0.764 0.764 0.764
```

Total DFT energy (no corrections) in eV/atom: -6.5477
Magnetic moment in μB/f.u.: 1.09